[1]
A geometry-optimized CaZnBr2 structure, computed with GGA-PBE.

Unit cell a=7.1531 b=7.1433 c=4.1602 alpha=90.00 beta=90.14 gamma=90.00
Last column: nearest neighbours and their distance in Å.
Space group C2/m (No. 12)
Inequivalent atoms, fractional coordinates:
Ca1 0.0000 0.0000 0.0000 [2 per cell]  8 Br 3.27-3.28, 4 Zn 3.57-3.58
Zn1 0.0000 0.5000 0.0000 [2 per cell]  8 Br 3.27-3.28, 4 Ca 3.57-3.58
Br1 0.2500 0.2500 0.5000 [4 per cell]  4 Ca 3.27-3.28, 4 Zn 3.27-3.28, 4 Br 3.57-3.58

As for the energy above the most stable polymorph in this dataset: 322.0 meV per atom. As for the density: 4.14 g/cm3. The magnetization is 0.00 μB/cell. The density of states at the Fermi level is 0.02 states/eV per atom.

=====

[2]
A geometry-optimized AcIrIO6 structure, computed with GGA-PBE.

Unit cell a=5.4903 b=5.4903 c=5.3219 alpha=90.00 beta=90.00 gamma=120.00
Last column: nearest neighbours and their distance in Å.
Space group P312 (No. 149)
Inequivalent atoms, fractional coordinates:
Ac1 0.0000 0.0000 0.0000 [1 per cell]  6 O 2.54
Ir1 0.3333 0.6667 0.5000 [1 per cell]  6 O 2.04
I1 0.6667 0.3333 0.5000 [1 per cell]  6 O 2.10
O1 0.0082 0.3701 0.7089 [6 per cell]  1 Ir 2.04, 1 I 2.10

As for the density: 7.67 g/cm3. For the energy, the calculation gives -6.2034 eV per atom. The magnetization is 0.45 μB/cell. The density of states at the Fermi level is 0.58 states/eV per atom.

=====

[3]
A geometry-optimized RbMoSe2 structure, computed with GGA-PBE.

Unit cell a=7.2082 b=7.2082 c=7.2082 alpha=90.00 beta=90.00 gamma=90.00
Last column: nearest neighbours and their distance in Å.
Space group Fm-3m (No. 225)
Inequivalent atoms, fractional coordinates:
Rb1 0.0000 0.0000 0.0000 [4 per cell]  8 Se 3.12
Mo1 0.0000 0.0000 0.5000 [4 per cell]  8 Se 3.12
Se1 0.2500 0.2500 0.2500 [8 per cell]  4 Mo 3.12, 4 Rb 3.12

As for the density: 6.02 g/cm3. For the energy, the calculation gives -4.4417 eV per atom. The magnetization is 12.00 μB/cell. The density of states at the Fermi level is 0.36 states/eV per atom.

=====

[4]
A geometry-optimized VAu3 structure, computed with GGA-PBE.

Unit cell a=2.8853 b=4.7529 c=5.0532 alpha=90.00 beta=90.00 gamma=90.00
Last column: nearest neighbours and their distance in Å.
Space group Pmm2 (No. 25)
Inequivalent atoms, fractional coordinates:
V1 0.0000 0.0000 0.0000 [1 per cell]  10 Au 2.86-2.92, 2 V 2.89
Au1 0.0000 0.5000 0.6848 [1 per cell]  10 Au 2.85-2.97, 2 V 2.86
Au2 0.5000 0.0000 0.4973 [1 per cell]  8 Au 2.89-2.94, 4 V 2.90-2.92
Au3 0.5000 0.5000 0.1714 [1 per cell]  8 Au 2.85-2.97, 4 V 2.91

The formation enthalpy at 0 K is 0.119 eV per atom. As for the density: 15.38 g/cm3. The magnetization is 2.45 μB/cell. The density of states at the Fermi level is 1.15 states/eV per atom.

=====

[5]
A geometry-optimized Rb2U3PbSe8 structure, computed with GGA-PBE.

Unit cell a=8.4901 b=8.4901 c=25.0375 alpha=90.00 beta=90.00 gamma=120.00
Last column: nearest neighbours and their distance in Å.
Space group R3m (No. 160, hexagonal axes)
Inequivalent atoms, fractional coordinates:
Rb1 0.0000 0.0000 0.0000 [3 per cell]  6 Se 3.46-3.52
Rb2 0.0000 0.0000 0.3587 [3 per cell]  4 Se 3.30-3.35
U1 0.1684 0.3367 0.8298 [9 per cell]  6 Se 2.77-2.89
Pb1 0.0000 0.0000 0.6074 [3 per cell]  3 Se 2.84
Se1 0.0000 0.0000 0.2248 [3 per cell]  3 U 2.87
Se2 0.0000 0.0000 0.7708 [3 per cell]  3 U 2.88
Se3 0.0253 0.5126 0.7712 [9 per cell]  2 U 2.77
Se4 0.1759 0.3517 0.5607 [9 per cell]  1 Pb 2.84, 2 U 2.89

As for the density: 5.49 g/cm3. For the energy, the calculation gives -5.8869 eV per atom. The magnetization is 18.00 μB/cell. The density of states at the Fermi level is 1.08 states/eV per atom.

=====

[6]
A geometry-optimized ReSn3O structure, computed with GGA-PBE.

Unit cell a=5.1370 b=5.1370 c=5.1370 alpha=90.00 beta=90.00 gamma=90.00
Last column: nearest neighbours and their distance in Å.
Space group Pm-3m (No. 221)
Inequivalent atoms, fractional coordinates:
Re1 0.0000 0.0000 0.0000 [1 per cell]  6 Sn 2.57
Sn1 0.0000 0.0000 0.5000 [3 per cell]  2 Re 2.57
O1 0.5000 0.5000 0.5000 [1 per cell]  12 Sn 3.63

As for the energy above the most stable polymorph in this dataset: 26.5 meV per atom. As for the density: 6.84 g/cm3. The magnetization is 1.00 μB/cell. The density of states at the Fermi level is 3.65 states/eV per atom.